No. 1
# Li2Nd2DyGe2

A geometry-optimized Li2Nd2DyGe2 structure (PBE, the Alexandria database).

Formation energy = -0.4876 eV/atom
Total magnetization = 0.0 Bohr magnetons per cell

Geometry as CIF:
```
data_Li2Nd2DyGe2
_chemical_formula_sum 'Li6 Nd6 Dy3 Ge6'
_cell_length_a 4.4464
_cell_length_b 4.4464
_cell_length_c 28.9074
_cell_angle_alpha 90.00
_cell_angle_beta 90.00
_cell_angle_gamma 120.00
_symmetry_space_group_name_H-M 'R -3 m'
_symmetry_Int_Tables_number 166
_symmetry_space_group_name_Hall '-R 3 2"'
loop_
_atom_site_label
_atom_site_type_symbol
_atom_site_fract_x
_atom_site_fract_y
_atom_site_fract_z
_atom_site_occupancy
Li1 Li 0.0000 0.0000 0.1108 1
Nd1 Nd 0.0000 0.0000 0.3771 1
Dy1 Dy 0.0000 0.0000 0.5000 1
Ge1 Ge 0.0000 0.0000 0.2280 1
```

No. 2
# LiNdDyGe

A geometry-optimized LiNdDyGe structure (PBE, the Alexandria database).

Formation energy = -0.4141 eV/atom
Total magnetization = 0.0 Bohr magnetons per cell

Geometry as CIF:
```
data_LiNdDyGe
_chemical_formula_sum 'Li4 Nd4 Dy4 Ge4'
_cell_length_a 7.2235
_cell_length_b 7.2235
_cell_length_c 7.2235
_cell_angle_alpha 90.00
_cell_angle_beta 90.00
_cell_angle_gamma 90.00
_symmetry_space_group_name_H-M 'F -4 3 m'
_symmetry_Int_Tables_number 216
_symmetry_space_group_name_Hall 'F -4 2 3'
loop_
_atom_site_label
_atom_site_type_symbol
_atom_site_fract_x
_atom_site_fract_y
_atom_site_fract_z
_atom_site_occupancy
Li1 Li 0.0000 0.0000 0.0000 1
Nd1 Nd 0.2500 0.2500 0.7500 1
Dy1 Dy 0.2500 0.2500 0.2500 1
Ge1 Ge 0.0000 0.0000 0.5000 1
```

No. 3
# LiDy2Ni3Ge4

A geometry-optimized LiDy2Ni3Ge4 structure (PBE, the Alexandria database).

Formation energy = -0.6466 eV/atom
Total magnetization = 0.0 Bohr magnetons per cell

Geometry as CIF:
```
data_LiDy2Ni3Ge4
_chemical_formula_sum 'Li1 Dy2 Ni3 Ge4'
_cell_length_a 4.1004
_cell_length_b 4.1004
_cell_length_c 9.7793
_cell_angle_alpha 90.00
_cell_angle_beta 90.00
_cell_angle_gamma 90.00
_symmetry_space_group_name_H-M 'P -4 m 2'
_symmetry_Int_Tables_number 115
_symmetry_space_group_name_Hall 'P -4 -2'
loop_
_atom_site_label
_atom_site_type_symbol
_atom_site_fract_x
_atom_site_fract_y
_atom_site_fract_z
_atom_site_occupancy
Li1 Li 0.0000 0.0000 0.0000 1
Dy1 Dy 0.0000 0.5000 0.7489 1
Ni1 Ni 0.0000 0.5000 0.3762 1
Ni2 Ni 0.5000 0.5000 0.0000 1
Ge1 Ge 0.0000 0.0000 0.5000 1
Ge2 Ge 0.0000 0.5000 0.1364 1
Ge3 Ge 0.5000 0.5000 0.5000 1
```

No. 4
# LiDy2Ni4Ge3

A geometry-optimized LiDy2Ni4Ge3 structure (PBE, the Alexandria database).

Formation energy = -0.6139 eV/atom
Total magnetization = 0.0 Bohr magnetons per cell

Geometry as CIF:
```
data_LiDy2Ni4Ge3
_chemical_formula_sum 'Li1 Dy2 Ni4 Ge3'
_cell_length_a 4.0319
_cell_length_b 4.0319
_cell_length_c 9.7832
_cell_angle_alpha 90.00
_cell_angle_beta 90.00
_cell_angle_gamma 90.00
_symmetry_space_group_name_H-M 'P -4 m 2'
_symmetry_Int_Tables_number 115
_symmetry_space_group_name_Hall 'P -4 -2'
loop_
_atom_site_label
_atom_site_type_symbol
_atom_site_fract_x
_atom_site_fract_y
_atom_site_fract_z
_atom_site_occupancy
Li1 Li 0.0000 0.0000 0.0000 1
Dy1 Dy 0.0000 0.5000 0.7478 1
Ni1 Ni 0.0000 0.0000 0.5000 1
Ni2 Ni 0.0000 0.5000 0.1304 1
Ni3 Ni 0.5000 0.5000 0.5000 1
Ge1 Ge 0.0000 0.5000 0.3679 1
Ge2 Ge 0.5000 0.5000 0.0000 1
```

No. 5
# LiDyNi2Ge2

A geometry-optimized LiDyNi2Ge2 structure (PBE, the Alexandria database).

Formation energy = -0.6190 eV/atom
Total magnetization = 0.0 Bohr magnetons per cell

Geometry as CIF:
```
data_LiDyNi2Ge2
_chemical_formula_sum 'Li1 Dy1 Ni2 Ge2'
_cell_length_a 4.0832
_cell_length_b 4.0832
_cell_length_c 6.5296
_cell_angle_alpha 90.00
_cell_angle_beta 90.00
_cell_angle_gamma 120.00
_symmetry_space_group_name_H-M 'P -3 m 1'
_symmetry_Int_Tables_number 164
_symmetry_space_group_name_Hall '-P 3 2"'
loop_
_atom_site_label
_atom_site_type_symbol
_atom_site_fract_x
_atom_site_fract_y
_atom_site_fract_z
_atom_site_occupancy
Li1 Li 0.0000 0.0000 0.0000 1
Dy1 Dy 0.0000 0.0000 0.5000 1
Ni1 Ni 0.3333 0.6667 0.8470 1
Ge1 Ge 0.3333 0.6667 0.2171 1
```

No. 6
# LiDyGeO4

A geometry-optimized LiDyGeO4 structure (PBE, the Alexandria database).

Formation energy without anion corrections = -2.40 eV/atom
Total magnetization = 0.0 Bohr magnetons per cell

Geometry as CIF:
```
data_LiDyGeO4
_chemical_formula_sum 'Li4 Dy4 Ge4 O16'
_cell_length_a 6.0271
_cell_length_b 6.8265
_cell_length_c 8.2949
_cell_angle_alpha 90.00
_cell_angle_beta 90.00
_cell_angle_gamma 90.00
_symmetry_space_group_name_H-M 'I m m a'
_symmetry_Int_Tables_number 74
_symmetry_space_group_name_Hall '-I 2b 2'
loop_
_atom_site_label
_atom_site_type_symbol
_atom_site_fract_x
_atom_site_fract_y
_atom_site_fract_z
_atom_site_occupancy
Li1 Li 0.2500 0.2500 0.2500 1
Dy1 Dy 0.0000 0.0000 0.0000 1
Ge1 Ge 0.0000 0.2500 0.6157 1
O1 O 0.0000 0.0308 0.7311 1
O2 O 0.2483 0.2500 0.4889 1
```